(1)
This record from the Alexandria database describes a geometry-optimized Y2NiMo4 structure. The functional is PBE-GGA.

The structure in POSCAR format:
```
Y2NiMo4
1.0
-2.263 2.263 7.462
2.263 -2.263 7.462
2.263 2.263 -7.462
Y Ni Mo
2 1 4
Direct
0.150 0.150 0.000
0.850 0.850 0.000
0.500 0.500 0.000
0.000 0.500 0.500
0.348 0.348 0.000
0.500 0.000 0.500
0.652 0.652 0.000
```

Values from the calculation:
energy of formation from the pure elements: 774 kJ/mol of formula units

***

(2)
This record from the Alexandria database describes a geometry-optimized YNi3Mo structure. The functional is PBE-GGA.

The structure in POSCAR format:
```
YNi3Mo
1.0
4.535 0.000 0.000
0.000 4.535 0.000
0.000 0.000 4.535
Y Ni Mo
1 3 1
Direct
0.000 0.000 0.000
0.000 0.500 0.500
0.500 0.000 0.500
0.500 0.500 0.000
0.500 0.500 0.500
```

Values from the calculation:
energy of formation from the pure elements: 242 kJ/mol of formula units
energy above the most stable polymorph in this dataset: 0.000 eV/atom

***

(3)
This record from the Alexandria database describes a geometry-optimized ZnNiMo2 structure. The functional is PBE-GGA.

The structure in POSCAR format:
```
ZnNiMo2
1.0
2.672 0.000 0.000
0.000 2.672 0.000
0.000 0.000 7.909
Zn Ni Mo
1 1 2
Direct
0.000 0.000 0.000
0.000 0.000 0.500
0.500 0.500 0.264
0.500 0.500 0.736
```

Values from the calculation:
energy of formation from the pure elements: 24 kJ/mol of formula units

***

(4)
This record from the Alexandria database describes a geometry-optimized ZnNi2Mo structure. The functional is PBE-GGA.

The structure in POSCAR format:
```
ZnNi2Mo
1.0
0.000 2.943 2.943
2.943 0.000 2.943
2.943 2.943 0.000
Zn Ni Mo
1 2 1
Direct
0.000 0.000 0.000
0.500 0.500 0.500
0.750 0.750 0.750
0.250 0.250 0.250
```

Values from the calculation:
energy of formation from the pure elements: 31 kJ/mol of formula units

***

(5)
This record from the Alexandria database describes a geometry-optimized ZnNiMo2 structure. The functional is PBE-GGA.

The structure in POSCAR format:
```
ZnNiMo2
1.0
-1.800 1.800 9.500
1.800 -1.800 9.500
1.800 1.800 -9.500
Zn Ni Mo
2 2 4
Direct
0.000 0.000 0.000
0.750 0.250 0.500
0.250 0.750 0.500
0.500 0.500 0.000
0.124 0.625 0.999
0.375 0.374 0.499
0.626 0.125 0.001
0.875 0.876 0.501
```

Values from the calculation:
energy of formation from the pure elements: 204 kJ/mol of formula units

***

(6)
This record from the Alexandria database describes a geometry-optimized ZnNi2Mo structure. The functional is PBE-GGA.

The structure in POSCAR format:
```
ZnNi2Mo
1.0
2.636 0.000 0.000
0.000 3.620 0.000
0.000 0.000 5.392
Zn Ni Mo
1 2 1
Direct
0.000 0.000 0.000
0.500 0.500 0.253
0.500 0.500 0.747
0.000 0.000 0.500
```

Values from the calculation:
energy of formation from the pure elements: -15 kJ/mol of formula units

***

(7)
This record from the Alexandria database describes a geometry-optimized ZnNi2Mo structure. The functional is PBE-GGA.

The structure in POSCAR format:
```
ZnNi2Mo
1.0
3.872 0.000 0.000
0.000 3.872 0.000
0.000 0.000 3.498
Zn Ni Mo
1 2 1
Direct
0.000 0.000 0.000
0.000 0.500 0.500
0.500 0.000 0.500
0.500 0.500 0.000
```

Values from the calculation:
energy of formation from the pure elements: 59 kJ/mol of formula units

***

(8)
This record from the Alexandria database describes a geometry-optimized ZnNi2Mo structure. The functional is PBE-GGA.

The structure in POSCAR format:
```
ZnNi2Mo
1.0
2.696 0.000 0.000
0.000 4.306 0.000
0.000 0.000 4.495
Zn Ni Mo
1 2 1
Direct
0.000 0.000 0.000
0.000 0.500 0.500
0.500 0.500 0.000
0.500 0.000 0.500
```

Values from the calculation:
energy of formation from the pure elements: 71 kJ/mol of formula units

***

(9)
This record from the Alexandria database describes a geometry-optimized ZnNi2Mo2 structure. The functional is PBE-GGA.

The structure in POSCAR format:
```
ZnNi2Mo2
1.0
7.223 0.000 0.000
0.000 7.223 0.000
0.000 0.000 2.680
Zn Ni Mo
2 4 4
Direct
0.000 0.000 0.000
0.500 0.500 0.000
0.119 0.381 0.000
0.381 0.881 0.000
0.619 0.119 0.000
0.881 0.619 0.000
0.176 0.676 0.500
0.324 0.176 0.500
0.676 0.824 0.500
0.824 0.324 0.500
```

Values from the calculation:
energy of formation from the pure elements: 79 kJ/mol of formula units

***

(10)
This record from the Alexandria database describes a geometry-optimized ZnNi3Mo structure. The functional is PBE-GGA.

The structure in POSCAR format:
```
ZnNi3Mo
1.0
4.489 0.000 0.000
0.000 4.489 0.000
0.000 0.000 4.489
Zn Ni Mo
1 3 1
Direct
0.000 0.000 0.000
0.000 0.500 0.500
0.500 0.000 0.500
0.500 0.500 0.000
0.500 0.500 0.500
```

Values from the calculation:
energy of formation from the pure elements: 635 kJ/mol of formula units
energy above the most stable polymorph in this dataset: 0.204 eV/atom

***

(11)
This record from the Alexandria database describes a geometry-optimized ZnNi2Mo structure. The functional is PBE-GGA.

The structure in POSCAR format:
```
ZnNi2Mo
1.0
4.399 -1.311 0.000
4.399 1.311 0.000
-0.867 0.000 4.459
Zn Ni Mo
1 2 1
Direct
0.000 0.000 0.000
0.485 0.485 0.482
0.749 0.749 0.179
0.234 0.234 0.668
```

Values from the calculation:
energy of formation from the pure elements: -2 kJ/mol of formula units

***

(12)
This record from the Alexandria database describes a geometry-optimized ZnNiMo2 structure. The functional is PBE-GGA.

The structure in POSCAR format:
```
ZnNiMo2
1.0
-1.898 1.898 3.938
1.898 -1.898 3.938
1.898 1.898 -3.938
Zn Ni Mo
1 1 2
Direct
0.000 0.000 0.000
0.750 0.250 0.500
0.250 0.750 0.500
0.500 0.500 0.000
```

Values from the calculation:
energy of formation from the pure elements: 50 kJ/mol of formula units

***

(13)
This record from the Alexandria database describes a geometry-optimized ZnNi2Mo structure. The functional is PBE-GGA.

The structure in POSCAR format:
```
ZnNi2Mo
1.0
4.231 -1.306 0.000
4.231 1.306 0.000
-0.668 0.000 4.697
Zn Ni Mo
1 2 1
Direct
0.000 0.000 0.000
0.252 0.252 0.741
0.748 0.748 0.259
0.500 0.500 0.500
```

Values from the calculation:
energy of formation from the pure elements: 16 kJ/mol of formula units

***

(14)
This record from the Alexandria database describes a geometry-optimized ZnNiMo2 structure. The functional is PBE-GGA.

The structure in POSCAR format:
```
ZnNiMo2
1.0
4.510 -1.311 0.000
4.510 1.311 0.000
-0.657 0.000 4.819
Zn Ni Mo
1 1 2
Direct
0.000 0.000 0.000
0.744 0.744 0.221
0.245 0.245 0.738
0.480 0.480 0.485
```

Values from the calculation:
energy of formation from the pure elements: 45 kJ/mol of formula units

***

(15)
This record from the Alexandria database describes a geometry-optimized ZnNiMo2 structure. The functional is PBE-GGA.

The structure in POSCAR format:
```
ZnNiMo2
1.0
3.650 0.000 0.000
0.000 3.704 0.000
0.000 0.000 4.175
Zn Ni Mo
1 1 2
Direct
0.000 0.000 0.000
0.500 0.500 0.000
0.000 0.500 0.500
0.500 0.000 0.500
```

Values from the calculation:
energy of formation from the pure elements: 28 kJ/mol of formula units

***

(16)
This record from the Alexandria database describes a geometry-optimized ZnNiMo2 structure. The functional is PBE-GGA.

The structure in POSCAR format:
```
ZnNiMo2
1.0
2.596 -4.145 0.000
2.596 4.145 0.000
0.000 0.000 2.626
Zn Ni Mo
1 1 2
Direct
0.000 0.000 0.000
0.500 0.500 0.000
0.000 0.500 0.500
0.500 0.000 0.500
```

Values from the calculation:
energy of formation from the pure elements: 40 kJ/mol of formula units

***

(17)
This record from the Alexandria database describes a geometry-optimized ZnNiMo2 structure. The functional is PBE-GGA.

The structure in POSCAR format:
```
ZnNiMo2
1.0
1.363 0.787 8.988
-1.363 0.787 8.988
0.000 -1.573 8.988
Zn Ni Mo
1 1 2
Direct
0.000 0.000 0.000
0.742 0.742 0.742
0.245 0.245 0.245
0.487 0.487 0.487
```

Values from the calculation:
energy of formation from the pure elements: 65 kJ/mol of formula units

***

(18)
This record from the Alexandria database describes a geometry-optimized ZnNiMo structure. The functional is PBE-GGA.

The structure in POSCAR format:
```
ZnNiMo
1.0
4.231 0.000 0.000
-2.116 3.664 0.000
0.000 0.000 2.589
Zn Ni Mo
1 1 1
Direct
0.000 0.000 0.000
0.667 0.333 0.000
0.333 0.667 0.500
```

Values from the calculation:
energy of formation from the pure elements: 14 kJ/mol of formula units
energy above the most stable polymorph in this dataset: 0.092 eV/atom

***

(19)
This record from the Alexandria database describes a geometry-optimized ZnNiMo2 structure. The functional is PBE-GGA.

The structure in POSCAR format:
```
ZnNiMo2
1.0
1.658 -2.083 0.000
1.658 2.083 0.000
0.000 0.000 8.248
Zn Ni Mo
1 1 2
Direct
0.000 0.000 0.000
0.500 0.500 0.774
0.000 0.000 0.542
0.500 0.500 0.266
```

Values from the calculation:
energy of formation from the pure elements: 3 kJ/mol of formula units

***

(20)
This record from the Alexandria database describes a geometry-optimized ZnNiMo2 structure. The functional is PBE-GGA.

The structure in POSCAR format:
```
ZnNiMo2
1.0
3.276 0.000 0.000
0.000 3.276 0.000
0.000 0.000 5.336
Zn Ni Mo
1 1 2
Direct
0.000 0.000 0.000
0.000 0.000 0.500
0.500 0.500 0.274
0.500 0.500 0.726
```

Values from the calculation:
energy of formation from the pure elements: 75 kJ/mol of formula units